La2TmThBi4: relaxed, PBE.

Computed properties:
energy	-5.535	eV/atom
E_form	-876	meV/atom

Unit cell a=7.961 b=4.616 c=8.008 alpha=90.00 beta=109.48 gamma=90.00
Space group P2/m (No. 10)
One atom of each set of equivalent atoms:
La 0.000 0.000 0.000 (multiplicity 1)
La 0.500 0.500 0.000 (multiplicity 1)
Tm 0.000 0.500 0.500 (multiplicity 1)
Th 0.500 0.000 0.500 (multiplicity 1)
Bi 0.241 0.000 0.737 (multiplicity 2)
Bi 0.248 0.500 0.259 (multiplicity 2)